# 1
{"formula": "MgPd2O4", "functional": "PBE", "state": "relaxed", "cell": [[-6.337, 1.019, 1.484], [-4.166, -4.312, -0.208], [-2.460, -1.617, 5.227]], "species": ["Mg", "O", "Pd", "Pd", "O", "O", "O", "Pd", "O", "O", "Mg", "Pd", "O", "O"], "frac_coords": [[0.500, 0.500, 0.000], [0.721, 0.235, 0.735], [0.500, 0.000, 0.000], [0.098, 0.152, 0.652], [0.691, 0.765, 0.265], [0.762, 0.281, 0.195], [0.762, 0.695, 0.781], [0.902, 0.848, 0.348], [0.309, 0.235, 0.735], [0.238, 0.719, 0.805], [0.000, 0.500, 0.000], [0.500, 0.500, 0.500], [0.279, 0.765, 0.265], [0.238, 0.305, 0.219]], "dft_energy_ev_per_atom": -5.459, "e_form_raw_ev_per_atom": -0.914, "volume_a3_per_atom": 11.6, "total_magnetization_mub_per_cell": 0.00}


# 2
{"formula": "DyHoPt", "functional": "PBE", "state": "relaxed", "cell": [[3.538, 0.000, -0.752], [0.000, 5.124, 0.000], [-0.119, 0.000, 8.139]], "species": ["Ho", "Dy", "Ho", "Pt", "Pt", "Dy"], "frac_coords": [[0.782, 0.750, 0.564], [0.927, 0.250, 0.855], [0.218, 0.250, 0.436], [0.576, 0.250, 0.152], [0.424, 0.750, 0.848], [0.073, 0.750, 0.145]], "de_polymorph_ev_per_atom": 0.137, "dft_energy_ev_per_atom": -5.894, "volume_a3_per_atom": 24.5, "formation_enthalpy_0k_mev_per_atom": -820.9, "total_magnetization_mub_per_cell": 0.00}


# 3
{"formula": "Zr3OsPt", "functional": "PBE", "state": "relaxed", "cell": [[-3.529, 1.468, -3.199], [1.908, -3.009, -3.485], [-2.958, -3.692, 1.569]], "species": ["Pt", "Zr", "Zr", "Zr", "Os"], "frac_coords": [[0.500, 0.500, 0.500], [0.000, 0.500, 0.000], [0.000, 0.000, 0.500], [0.500, 0.000, 0.000], [0.000, 0.000, 0.000]], "de_polymorph_ev_per_atom": 0.000, "dft_energy_ev_per_atom": -8.205, "volume_a3_per_atom": 24.8, "formation_enthalpy_0k_mev_per_atom": 378.2, "total_magnetization_mub_per_cell": 0.00}


# 4
{"formula": "NbHg3Te2F6", "functional": "PBE", "state": "relaxed", "cell": [[-1.661, -2.353, -3.737], [-2.821, -5.839, 4.931], [-4.475, 6.973, -1.032]], "species": ["Hg", "Nb", "Hg", "F", "F", "Hg", "F", "F", "Te", "Te", "F", "F"], "frac_coords": [[0.000, 0.500, 0.000], [0.500, 0.000, 0.000], [0.500, 0.000, 0.500], [0.252, 0.769, 0.880], [0.297, 0.107, 0.213], [0.500, 0.500, 0.500], [0.748, 0.889, 0.120], [0.252, 0.111, 0.880], [0.922, 0.309, 0.618], [0.078, 0.691, 0.382], [0.703, 0.893, 0.787], [0.748, 0.231, 0.120]], "dft_energy_ev_per_atom": -4.154, "e_form_raw_ev_per_atom": -1.780, "volume_a3_per_atom": 23.1, "total_magnetization_mub_per_cell": 0.00}


# 5
{"formula": "Ce2Nd3SmTm6", "functional": "PBE", "state": "relaxed", "cell": [[-1.673, 5.803, -1.231], [-0.182, -4.267, -4.445], [-10.208, -3.027, 4.750]], "species": ["Tm", "Tm", "Tm", "Ce", "Sm", "Nd", "Tm", "Tm", "Ce", "Nd", "Nd", "Tm"], "frac_coords": [[0.582, 0.918, 0.753], [0.253, 0.253, 0.753], [0.747, 0.747, 0.247], [0.333, 0.667, 0.000], [0.000, 0.000, 0.000], [0.166, 0.834, 0.500], [0.082, 0.418, 0.247], [0.418, 0.082, 0.247], [0.667, 0.333, 0.000], [0.500, 0.500, 0.500], [0.834, 0.166, 0.500], [0.918, 0.582, 0.753]], "dft_energy_ev_per_atom": -4.764, "volume_a3_per_atom": 31.5, "formation_enthalpy_0k_mev_per_atom": 46.3, "total_magnetization_mub_per_cell": 1.90}


# 6
{"formula": "SmEr3Tm4", "functional": "PBE", "state": "relaxed", "cell": [[-2.920, -1.409, -1.363], [0.597, -7.304, -2.809], [-5.332, -5.031, 7.543]], "species": ["Tm", "Tm", "Er", "Er", "Sm", "Er", "Tm", "Tm"], "frac_coords": [[0.497, 0.752, 0.252], [0.000, 0.751, 0.748], [0.000, 0.500, 0.500], [0.500, 0.000, 0.500], [0.500, 0.500, 0.000], [0.000, 0.000, 0.000], [0.000, 0.249, 0.252], [0.503, 0.249, 0.748]], "de_polymorph_ev_per_atom": 0.025, "dft_energy_ev_per_atom": -4.511, "volume_a3_per_atom": 30.6, "formation_enthalpy_0k_mev_per_atom": 26.0, "total_magnetization_mub_per_cell": 0.00}


# 7
{"formula": "Li3UMn2S6", "functional": "PBE", "state": "relaxed", "cell": [[-0.993, -0.222, -6.302], [-4.372, -2.366, 4.004], [-0.964, 6.346, 1.004]], "species": ["U", "Mn", "S", "S", "Mn", "S", "Li", "S", "S", "Li", "Li", "S"], "frac_coords": [[0.000, 0.000, 0.000], [0.667, 0.333, 0.000], [0.743, 0.743, 0.242], [0.081, 0.418, 0.243], [0.333, 0.667, 0.000], [0.257, 0.257, 0.758], [0.834, 0.166, 0.500], [0.418, 0.081, 0.243], [0.919, 0.582, 0.757], [0.166, 0.834, 0.500], [0.500, 0.500, 0.500], [0.582, 0.919, 0.757]], "dft_energy_ev_per_atom": -6.115, "e_form_raw_ev_per_atom": -1.104, "volume_a3_per_atom": 18.1, "total_magnetization_mub_per_cell": 9.02}


# 8
{"formula": "CaTi", "functional": "PBE", "state": "relaxed", "cell": [[-1.996, -2.667, -0.177], [4.092, -2.886, -2.649], [6.014, -5.515, 15.297]], "species": ["Ca", "Ca", "Ca", "Ti", "Ti", "Ti", "Ti", "Ca", "Ti", "Ca", "Ti", "Ca"], "frac_coords": [[0.000, 0.500, 0.687], [0.000, 0.000, 0.000], [0.500, 0.500, 0.500], [0.000, 0.500, 0.120], [0.000, 0.000, 0.500], [0.500, 0.000, 0.620], [0.500, 0.000, 0.380], [0.000, 0.500, 0.313], [0.000, 0.500, 0.880], [0.500, 0.000, 0.187], [0.500, 0.500, 0.000], [0.500, 0.000, 0.813]], "de_polymorph_ev_per_atom": 0.030, "dft_energy_ev_per_atom": -4.465, "volume_a3_per_atom": 27.3, "formation_enthalpy_0k_mev_per_atom": 483.5, "total_magnetization_mub_per_cell": 6.14}


# 9
{"formula": "Ag2PbO2", "functional": "PBE", "state": "relaxed", "cell": [[-3.469, -0.564, 1.256], [-0.995, -1.327, -3.344], [-0.721, -6.413, 0.677]], "species": ["Pb", "O", "Ag", "O", "Ag"], "frac_coords": [[0.000, 0.000, 0.000], [0.392, 0.392, 0.217], [0.750, 0.250, 0.500], [0.608, 0.608, 0.783], [0.250, 0.750, 0.500]], "dft_energy_ev_per_atom": -3.903, "e_form_raw_ev_per_atom": -0.038, "volume_a3_per_atom": 16.5, "total_magnetization_mub_per_cell": 0.00}


# 10
{"formula": "KLi2CBr", "functional": "PBE", "state": "relaxed", "cell": [[-2.264, -2.673, 3.261], [5.349, -0.438, 3.355], [-1.191, 3.956, 2.416]], "species": ["Li", "Br", "C", "Li", "K"], "frac_coords": [[0.000, 0.000, 0.500], [0.000, 0.000, 0.000], [0.500, 0.500, 0.500], [0.500, 0.000, 0.000], [0.000, 0.500, 0.000]], "dft_energy_ev_per_atom": -2.582, "e_form_raw_ev_per_atom": 0.582, "volume_a3_per_atom": 29.0, "total_magnetization_mub_per_cell": 2.00}


# 11
{"formula": "SrHg4Ru", "functional": "PBE", "state": "relaxed", "cell": [[-4.319, 1.317, 3.742], [-5.589, -0.861, -1.553], [-3.114, -4.289, 2.510]], "species": ["Hg", "Hg", "Hg", "Sr", "Hg", "Ru"], "frac_coords": [[0.376, 0.872, 0.376], [0.376, 0.376, 0.376], [0.872, 0.376, 0.376], [0.000, 0.000, 0.000], [0.376, 0.376, 0.872], [0.750, 0.750, 0.750]], "dft_energy_ev_per_atom": -1.752, "volume_a3_per_atom": 23.8, "formation_enthalpy_0k_mev_per_atom": 275.3, "total_magnetization_mub_per_cell": 1.39}


# 12
{"formula": "Nd3MgIn", "functional": "PBE", "state": "relaxed", "cell": [[5.267, 0.000, 1.204], [0.000, 5.399, 0.000], [0.297, 0.000, 10.827]], "species": ["Mg", "Mg", "Nd", "Nd", "Nd", "In", "In", "Nd", "Nd", "Nd"], "frac_coords": [[0.979, 0.250, 0.691], [0.670, 0.750, 0.309], [0.264, 0.750, 0.120], [0.574, 0.250, 0.501], [0.884, 0.750, 0.880], [0.168, 0.250, 0.312], [0.480, 0.750, 0.688], [0.075, 0.750, 0.499], [0.384, 0.250, 0.880], [0.764, 0.250, 0.120]], "de_polymorph_ev_per_atom": 0.000, "dft_energy_ev_per_atom": -3.961, "volume_a3_per_atom": 30.6, "formation_enthalpy_0k_mev_per_atom": -233.4, "total_magnetization_mub_per_cell": 1.13}


# 13
{"formula": "Cs2CdI", "functional": "PBE", "state": "relaxed", "cell": [[5.350, 0.000, 0.000], [2.675, 4.633, 0.000], [2.675, 1.544, 10.133]], "species": ["Cs", "Cs", "Cd", "I"], "frac_coords": [[0.745, 0.745, 0.766], [0.255, 0.255, 0.234], [0.500, 0.500, 0.500], [0.000, 0.000, 0.000]], "de_polymorph_ev_per_atom": 0.108, "dft_energy_ev_per_atom": -1.715, "e_form_raw_ev_per_atom": -0.672, "volume_a3_per_atom": 62.8, "total_magnetization_mub_per_cell": 0.51}


# 14
{"formula": "AsPb3", "functional": "PBE", "state": "relaxed", "cell": [[5.235, 0.471, 0.000], [-1.195, 5.118, 0.000], [0.000, 0.000, 4.190]], "species": ["As", "Pb", "Pb", "Pb"], "frac_coords": [[0.000, 0.000, 0.000], [0.500, 0.500, 0.000], [0.500, 0.000, 0.500], [0.000, 0.500, 0.500]], "de_polymorph_ev_per_atom": 0.062, "dft_energy_ev_per_atom": -3.843, "volume_a3_per_atom": 28.7, "formation_enthalpy_0k_mev_per_atom": 101.0, "total_magnetization_mub_per_cell": 0.00}


# 15
{"formula": "TbCe2Y3P6", "functional": "PBE", "state": "relaxed", "cell": [[-1.930, 0.052, 6.725], [-4.851, -0.372, -5.028], [2.608, -6.468, -0.415]], "species": ["P", "Tb", "P", "Y", "Ce", "P", "P", "P", "P", "Ce", "Y", "Y"], "frac_coords": [[0.084, 0.417, 0.251], [0.000, 0.000, 0.000], [0.751, 0.751, 0.252], [0.167, 0.833, 0.500], [0.333, 0.667, 0.000], [0.249, 0.249, 0.748], [0.916, 0.583, 0.749], [0.583, 0.916, 0.749], [0.417, 0.084, 0.251], [0.667, 0.333, 0.000], [0.500, 0.500, 0.500], [0.833, 0.167, 0.500]], "dft_energy_ev_per_atom": -7.285, "volume_a3_per_atom": 23.3, "formation_enthalpy_0k_mev_per_atom": -1589.0, "total_magnetization_mub_per_cell": 0.84}


# 16
{"formula": "CsTaAsBr2", "functional": "PBE", "state": "relaxed", "cell": [[-0.690, -0.758, 5.332], [3.823, -3.855, -0.053], [3.515, 3.473, 0.949]], "species": ["Br", "Cs", "Br", "As", "Ta"], "frac_coords": [[0.500, 0.000, 0.000], [0.500, 0.500, 0.500], [0.000, 0.500, 0.000], [0.000, 0.000, 0.500], [0.000, 0.000, 0.000]], "dft_energy_ev_per_atom": -4.685, "e_form_raw_ev_per_atom": -0.545, "volume_a3_per_atom": 29.7, "total_magnetization_mub_per_cell": 0.21}


# 17
{"formula": "AlCrIn", "functional": "PBE", "state": "relaxed", "cell": [[3.013, 0.000, 0.000], [-1.507, 2.610, 0.000], [0.000, 0.000, 6.845]], "species": ["Cr", "In", "Al"], "frac_coords": [[0.667, 0.333, 0.317], [0.333, 0.667, 0.652], [0.000, 0.000, 0.031]], "de_polymorph_ev_per_atom": 0.123, "dft_energy_ev_per_atom": -5.016, "volume_a3_per_atom": 17.9, "formation_enthalpy_0k_mev_per_atom": 352.6, "total_magnetization_mub_per_cell": 2.55}


# 18
{"formula": "Tb4Y4Mg", "functional": "PBE", "state": "relaxed", "cell": [[8.427, -3.608, 0.787], [-4.393, 8.046, 0.787], [1.357, 1.492, 11.387]], "species": ["Mg", "Tb", "Tb", "Tb", "Y", "Mg", "Y", "Tb", "Y", "Tb", "Tb", "Y", "Y", "Y", "Tb", "Y", "Y", "Tb"], "frac_coords": [[0.961, 0.961, 0.283], [0.815, 0.185, 0.000], [0.468, 0.184, 0.167], [0.857, 0.143, 0.500], [0.282, 0.282, 0.942], [0.039, 0.039, 0.717], [0.608, 0.608, 0.615], [0.532, 0.816, 0.833], [0.482, 0.848, 0.333], [0.184, 0.468, 0.167], [0.143, 0.857, 0.500], [0.518, 0.152, 0.667], [0.718, 0.718, 0.058], [0.152, 0.518, 0.667], [0.185, 0.815, 0.000], [0.848, 0.482, 0.333], [0.392, 0.392, 0.385], [0.816, 0.532, 0.833]], "de_polymorph_ev_per_atom": 0.036, "dft_energy_ev_per_atom": -5.046, "volume_a3_per_atom": 31.3, "formation_enthalpy_0k_mev_per_atom": 61.6, "total_magnetization_mub_per_cell": 0.00}


# 19
{"formula": "Ce2Mo3N5", "functional": "PBE", "state": "relaxed", "cell": [[-2.714, -0.439, -1.635], [-3.917, -2.078, 3.931], [-3.608, 5.768, 1.310]], "species": ["N", "N", "Mo", "Mo", "N", "N", "N", "Mo", "Ce", "Ce"], "frac_coords": [[0.702, 0.393, 0.203], [0.085, 0.239, 0.591], [0.124, 0.633, 0.120], [0.876, 0.367, 0.880], [0.915, 0.761, 0.409], [0.298, 0.607, 0.797], [0.000, 0.000, 0.000], [0.500, 0.500, 0.500], [0.667, 0.930, 0.736], [0.333, 0.070, 0.264]], "dft_energy_ev_per_atom": -9.488, "e_form_raw_ev_per_atom": -0.889, "volume_a3_per_atom": 12.2, "total_magnetization_mub_per_cell": 0.00}


# 20
{"formula": "PrGdC", "functional": "PBE", "state": "relaxed", "cell": [[-5.201, -2.666, -3.017], [0.028, -2.762, 2.392], [-1.951, 3.008, 0.705]], "species": ["Pr", "Gd", "C"], "frac_coords": [[0.551, 0.667, 0.333], [0.126, 0.000, 0.000], [0.323, 0.333, 0.667]], "dft_energy_ev_per_atom": -9.499, "volume_a3_per_atom": 25.4, "formation_enthalpy_0k_mev_per_atom": -137.3, "total_magnetization_mub_per_cell": 7.40}


# 21
{"formula": "HfFeP2S", "functional": "PBE", "state": "relaxed", "cell": [[4.208, 0.000, 0.000], [0.000, 4.208, 0.000], [0.000, 0.000, 4.772]], "species": ["Fe", "S", "Hf", "P", "P"], "frac_coords": [[0.000, 0.000, 0.000], [0.000, 0.000, 0.500], [0.500, 0.500, 0.500], [0.500, 0.000, 0.000], [0.000, 0.500, 0.000]], "de_polymorph_ev_per_atom": 0.000, "dft_energy_ev_per_atom": -6.507, "e_form_raw_ev_per_atom": 0.165, "volume_a3_per_atom": 16.9, "total_magnetization_mub_per_cell": 1.15}


# 22
{"formula": "ZrCr2GaW", "functional": "PBE", "state": "relaxed", "cell": [[4.377, 0.000, 0.000], [0.000, 4.698, 0.000], [0.000, 0.000, 4.377]], "species": ["W", "Zr", "Cr", "Cr", "Ga"], "frac_coords": [[0.000, 0.500, 0.000], [0.500, 0.500, 0.500], [0.000, 0.000, 0.500], [0.500, 0.000, 0.000], [0.000, 0.000, 0.000]], "dft_energy_ev_per_atom": -7.524, "volume_a3_per_atom": 18.0, "formation_enthalpy_0k_mev_per_atom": 1231.2, "total_magnetization_mub_per_cell": 0.00}


# 23
{"formula": "Ca2WBr", "functional": "PBE", "state": "relaxed", "cell": [[-1.308, -5.437, -3.374], [2.267, -1.010, -6.041], [0.922, 0.971, 6.392]], "species": ["Br", "W", "Ca", "Ca"], "frac_coords": [[0.720, 0.220, 0.500], [0.526, 0.526, 0.000], [0.281, 0.781, 0.500], [0.972, 0.972, 0.000]], "de_polymorph_ev_per_atom": 0.349, "dft_energy_ev_per_atom": -4.284, "e_form_raw_ev_per_atom": 0.373, "volume_a3_per_atom": 24.8, "total_magnetization_mub_per_cell": 0.50}


# 24
{"formula": "NaMnAgBr4", "functional": "PBE", "state": "relaxed", "cell": [[8.349, 0.000, 0.000], [4.174, 7.165, 0.089], [4.174, 2.268, 6.797]], "species": ["Br", "Br", "Br", "Mn", "Br", "Na", "Br", "Br", "Na", "Br", "Mn", "Br", "Ag", "Ag"], "frac_coords": [[0.251, 0.752, 0.252], [0.745, 0.254, 0.256], [0.256, 0.248, 0.748], [0.623, 0.627, 0.127], [0.744, 0.752, 0.252], [0.000, 0.500, 0.500], [0.749, 0.248, 0.748], [0.255, 0.746, 0.744], [0.000, 0.000, 0.000], [0.255, 0.244, 0.246], [0.377, 0.373, 0.873], [0.745, 0.756, 0.754], [0.000, 0.000, 0.500], [0.500, 0.000, 0.500]], "dft_energy_ev_per_atom": -3.714, "e_form_raw_ev_per_atom": -0.853, "volume_a3_per_atom": 28.9, "total_magnetization_mub_per_cell": 10.00}